First-principles (PBE-GGA) data for a relaxed structure of Ti2TlAgC, as listed in Alexandria.

- energy of formation (eV per atom) = 2.4022
- ρ (g/cm³) = 5.138
- M_tot (μB per atom) = 0.200

Lattice parameters (Å, degrees): 5.1747 5.0688 5.1747 90.00 90.00 90.00
Each line ends with the local moment (μB).
Fractional coordinates of all 5 atoms:
Ti1 0.5000 0.0000 0.0000  -1.02
Ti2 0.0000 0.0000 0.5000  -0.79
Ag1 0.0000 0.5000 0.0000  0.02
C1 0.5000 0.5000 0.5000  0.57
Tl1 0.0000 0.0000 0.0000  0.01